Material: Rb3BaSc
Method: DFT, GGA-PBE
State: optimized geometry

Properties
offset from the most stable computed form	332.1	meV/atom
ΔE_f	534	kJ/mol of formula units
D(E_F)	7.97	states/eV/f.u.

Cell: 7.506 7.506 7.506 Å, 90.00 90.00 90.00°
Site moments in Bohr magnetons follow the coordinates.
Element x y z (fractional)
Rb  0.000  0.500  0.000  0.04
Rb  0.500  0.000  0.000  0.04
Rb  0.000  0.000  0.500  0.04
Ba  0.000  0.000  0.000  0.36
Sc  0.500  0.500  0.500  0.97